## Ag2Sb2S (PBE)

Data for Ag2Sb2S after structural relaxation.

Structure (POSCAR):
```
Ag2Sb2S
1.0
-5.7712 -3.6844 2.2042
-1.8751 -1.1591 -6.8469
2.4009 -3.7721 -0.0189
Ag Sb S
4 4 2
direct
0.1457 0.3543 0.0000
0.3543 0.8543 0.0000
0.6457 0.1457 0.0000
0.8543 0.6457 0.0000
0.8581 0.3581 0.5000
0.3581 0.1419 0.5000
0.1419 0.6419 0.5000
0.6419 0.8581 0.5000
0.5000 0.5000 0.0000
0.0000 0.0000 0.0000
```

Results
The value obtained for the magnetization is 0.000 μB/atom. As for the raw formation energy: 0.284 eV per atom. Its crystal system is tetragonal.

***

## Ag2Sb3S8 (PBE)

Data for Ag2Sb3S8 after structural relaxation.

Structure (POSCAR):
```
Ag2Sb3S8
1.0
-5.6194 0.0346 -3.3826
-0.1114 -7.4060 0.1093
-2.3152 3.8260 5.8699
Ag S Sb
2 8 3
direct
0.4113 0.2861 0.5721
0.5887 0.7139 0.4279
0.3664 0.3545 0.2436
0.9113 0.6249 0.2499
0.0887 0.3751 0.7501
0.6336 0.6455 0.7564
0.8509 0.1207 0.2414
0.1491 0.8793 0.7586
0.6336 0.1109 0.7564
0.3664 0.8891 0.2436
0.0000 0.2556 0.0000
0.0000 0.7444 0.0000
0.5000 0.0000 0.0000
```

Results
The value obtained for the magnetization is 0.000 μB/atom. As for the raw formation energy: -0.033 eV per atom. Its crystal system is monoclinic.

***

## AgSbS2 (PBE)

Data for AgSbS2 after structural relaxation.

Structure (POSCAR):
```
AgSbS2
1.0
-5.2961 -2.4986 -0.3024
2.4039 -5.2304 1.1168
-2.2656 -2.8920 6.7261
Sb Ag S
2 2 4
direct
0.0000 0.0000 0.0000
0.7500 0.2500 0.5000
0.5000 0.5000 0.0000
0.2500 0.7500 0.5000
0.3750 0.3841 0.7500
0.1341 0.6250 0.2500
0.6159 0.1250 0.2500
0.8750 0.8659 0.7500
```

Results
The value obtained for the magnetization is 0.000 μB/atom. As for the raw formation energy: -0.033 eV per atom. Its crystal system is tetragonal.